[1]
A plane-wave DFT calculation with PBE was carried out for a relaxed structure of TbEr2Sc8.

* crystal system: orthorhombic
* E_tot: -5.723 eV/atom
* formation energy from the elements: 132 meV per atom
* D(E_F): 16.76 states/eV per cell

```
data_TbEr2Sc8
_chemical_formula_sum 'Tb1 Er2 Sc8'
_cell_length_a 5.4743
_cell_length_b 8.7010
_cell_length_c 9.1323
_cell_angle_alpha 61.55
_cell_angle_beta 72.57
_cell_angle_gamma 51.04
_symmetry_space_group_name_H-M 'P 1'
_symmetry_Int_Tables_number 1
_symmetry_space_group_name_Hall 'P 1'
loop_
_atom_site_label
_atom_site_type_symbol
_atom_site_fract_x
_atom_site_fract_y
_atom_site_fract_z
_atom_site_occupancy
Sc1 Sc 0.2262 0.6446 0.2581 1
Sc2 Sc 0.7738 0.3554 0.7419 1
Sc3 Sc 0.2262 0.9027 0.7419 1
Sc4 Sc 0.2427 0.4996 0.0000 1
Sc5 Sc 0.7573 0.5004 0.0000 1
Sc6 Sc 0.5000 0.7976 0.4049 1
Sc7 Sc 0.7738 0.0973 0.2581 1
Sc8 Sc 0.5000 0.2024 0.5951 1
Er1 Er 0.0000 0.3098 0.3803 1
Er2 Er 0.0000 0.6902 0.6197 1
Tb1 Tb 0.5000 0.0000 0.0000 1
```

***

[2]
A plane-wave DFT calculation with PBE was carried out for a relaxed structure of Tb2Er9Sc.

* crystal system: tetragonal
* E_tot: -4.691 eV/atom
* formation energy from the elements: 30 meV per atom
* D(E_F): 17.60 states/eV per cell

```
data_Tb2Er9Sc
_chemical_formula_sum 'Tb2 Er9 Sc1'
_cell_length_a 4.9494
_cell_length_b 4.9494
_cell_length_c 14.8144
_cell_angle_alpha 90.00
_cell_angle_beta 90.00
_cell_angle_gamma 90.00
_symmetry_space_group_name_H-M 'P 1'
_symmetry_Int_Tables_number 1
_symmetry_space_group_name_Hall 'P 1'
loop_
_atom_site_label
_atom_site_type_symbol
_atom_site_fract_x
_atom_site_fract_y
_atom_site_fract_z
_atom_site_occupancy
Er1 Er 0.0000 0.5000 0.1622 1
Er2 Er 0.5000 0.0000 0.5000 1
Er3 Er 0.5000 0.0000 0.1622 1
Er4 Er 0.0000 0.5000 0.8378 1
Er5 Er 0.5000 0.0000 0.8378 1
Er6 Er 0.5000 0.5000 0.0000 1
Er7 Er 0.5000 0.5000 0.6692 1
Er8 Er 0.5000 0.5000 0.3308 1
Er9 Er 0.0000 0.5000 0.5000 1
Tb1 Tb 0.0000 0.0000 0.3319 1
Tb2 Tb 0.0000 0.0000 0.6681 1
Sc1 Sc 0.0000 0.0000 0.0000 1
```

***

[3]
A plane-wave DFT calculation with PBE was carried out for a relaxed structure of Tb3Er4Sc3.

* crystal system: orthorhombic
* E_tot: -5.028 eV/atom
* formation energy from the elements: 86 meV per atom
* D(E_F): 8.77 states/eV per cell

```
data_Tb3Er4Sc3
_chemical_formula_sum 'Tb3 Er4 Sc3'
_cell_length_a 3.5993
_cell_length_b 9.0425
_cell_length_c 9.0425
_cell_angle_alpha 90.52
_cell_angle_beta 90.00
_cell_angle_gamma 90.00
_symmetry_space_group_name_H-M 'P 1'
_symmetry_Int_Tables_number 1
_symmetry_space_group_name_Hall 'P 1'
loop_
_atom_site_label
_atom_site_type_symbol
_atom_site_fract_x
_atom_site_fract_y
_atom_site_fract_z
_atom_site_occupancy
Sc1 Sc 0.5000 0.6712 0.6675 1
Sc2 Sc 0.5000 0.8292 0.1708 1
Sc3 Sc 0.5000 0.3325 0.3288 1
Er1 Er 0.0000 0.3781 0.6219 1
Er2 Er 0.0000 0.8642 0.8763 1
Er3 Er 0.0000 0.1237 0.1358 1
Er4 Er 0.0000 0.6299 0.3701 1
Tb1 Tb 0.0000 0.5030 0.0021 1
Tb2 Tb 0.0000 0.9979 0.4970 1
Tb3 Tb 0.5000 0.1703 0.8297 1
```

***

[4]
A plane-wave DFT calculation with PBE was carried out for a relaxed structure of TbEr6Sc8.

* crystal system: trigonal
* E_tot: -5.473 eV/atom
* relative energy among the computed polymorphs: 0.0 kJ per mole of atoms
* formation energy from the elements: 38 meV per atom
* D(E_F): 25.72 states/eV per cell

```
data_TbEr6Sc8
_chemical_formula_sum 'Tb1 Er6 Sc8'
_cell_length_a 5.8902
_cell_length_b 5.8902
_cell_length_c 14.0351
_cell_angle_alpha 77.89
_cell_angle_beta 77.89
_cell_angle_gamma 60.00
_symmetry_space_group_name_H-M 'P 1'
_symmetry_Int_Tables_number 1
_symmetry_space_group_name_Hall 'P 1'
loop_
_atom_site_label
_atom_site_type_symbol
_atom_site_fract_x
_atom_site_fract_y
_atom_site_fract_z
_atom_site_occupancy
Sc1 Sc 0.3333 0.3333 0.0000 1
Sc2 Sc 0.6667 0.6667 0.0000 1
Sc3 Sc 0.1972 0.5312 0.4075 1
Sc4 Sc 0.5312 0.8642 0.4075 1
Sc5 Sc 0.8028 0.4688 0.5925 1
Sc6 Sc 0.1358 0.8028 0.5925 1
Sc7 Sc 0.8642 0.1972 0.4075 1
Sc8 Sc 0.4688 0.1358 0.5925 1
Er1 Er 0.5962 0.2659 0.2068 1
Er2 Er 0.9311 0.5962 0.2068 1
Er3 Er 0.4038 0.7341 0.7932 1
Er4 Er 0.0689 0.4038 0.7932 1
Er5 Er 0.2659 0.9311 0.2068 1
Er6 Er 0.7341 0.0689 0.7932 1
Tb1 Tb 0.0000 0.0000 0.0000 1
```

***

Which of these has the lowest E_tot?
TbEr2Sc8

***

E_tot of number 1 (TbEr2Sc8)?
-5.723 eV/atom

***

formation energy from the elements of number 1 (TbEr2Sc8)?
132 meV per atom

***

What is the formula in the fourth record?
TbEr6Sc8